## BaCa2Mn (GGA-PBEsol)

Data for crystalline BaCa2Mn at its relaxed geometry.

Lattice parameters (Å, degrees): 5.7200 5.7200 5.7200 60.00 60.00 60.00
Closest atoms and distances in Å follow each position.
Atoms (fractional coordinates):
Ba 0.0000 0.0000 0.0000  8 Ca 3.50
Ca 0.2500 0.2500 0.2500  4 Mn 3.50, 4 Ba 3.50
Ca 0.7500 0.7500 0.7500  4 Ba 3.50, 4 Mn 3.50
Mn 0.5000 0.5000 0.5000  8 Ca 3.50

Values from the calculation:
- ΔE_f (eV/f.u.) = 1.96
- E (eV/atom) = -3.5553